! NaPmAlIn, relaxed, DFT PBE-GGA; values from VASP
&SYSTEM
  ibrav = 0, nat = 4, ntyp = 4
/
ATOMIC_SPECIES
In 114.82 In.upf
Pm 145.00 Pm.upf
Al 26.98 Al.upf
Na 22.99 Na.upf
CELL_PARAMETERS angstrom
-2.034 2.952 3.846
-5.128 -0.306 1.116
-1.586 -2.248 4.480
ATOMIC_POSITIONS crystal
In 0.750 0.750 0.750
Pm 0.500 0.500 0.500
Al 0.250 0.250 0.250
Na 0.000 0.000 0.000
! E (eV per atom): -3.30
! Formation energy from the elements (eV per atom): -0.167
! Crystal system: cubic
! SG: F-43m, No. 216


! K2AlCd, relaxed, DFT PBE-GGA; values from VASP
&SYSTEM
  ibrav = 0, nat = 4, ntyp = 3
/
ATOMIC_SPECIES
K 39.10 K.upf
Cd 112.41 Cd.upf
Al 26.98 Al.upf
CELL_PARAMETERS angstrom
12.317 0.072 0.042
11.751 3.689 0.042
11.751 1.836 3.200
ATOMIC_POSITIONS crystal
K 0.997 0.997 0.997
Cd 0.750 0.750 0.750
Al 0.250 0.250 0.250
K 0.503 0.503 0.503
! E (eV per atom): -1.38
! Formation energy from the elements (eV per atom): 0.338
! Crystal system: trigonal
! SG: R-3m, No. 166
! Energy above the most stable polymorph in this dataset (meV/atom): 254.8


! AlSiTe2, relaxed, DFT PBE-GGA; values from VASP
&SYSTEM
  ibrav = 0, nat = 4, ntyp = 3
/
ATOMIC_SPECIES
Te 127.60 Te.upf
Si 28.09 Si.upf
Al 26.98 Al.upf
CELL_PARAMETERS angstrom
5.341 -1.598 7.297
7.954 -0.857 4.508
6.244 2.081 6.403
ATOMIC_POSITIONS crystal
Te 0.894 0.894 0.894
Si 0.000 0.000 0.000
Al 0.500 0.500 0.500
Te 0.106 0.106 0.106
! E (eV per atom): -3.58
! Crystal system: trigonal
! SG: R-3m, No. 166
! Raw formation energy (meV per atom): 283
! Energy above the most stable polymorph in this dataset (meV/atom): 348.6


! Ni4Sn2S, relaxed, DFT PBE-GGA; values from VASP
&SYSTEM
  ibrav = 0, nat = 7, ntyp = 3
/
ATOMIC_SPECIES
Sn 118.71 Sn.upf
Ni 58.69 Ni.upf
S 32.06 S.upf
CELL_PARAMETERS angstrom
-0.668 0.159 4.081
-0.767 -4.067 0.033
5.849 -3.183 3.181
ATOMIC_POSITIONS crystal
Sn 0.341 0.341 0.317
Ni 0.500 0.000 0.000
Ni 0.000 0.500 0.000
Ni 0.848 0.848 0.305
Sn 0.659 0.659 0.683
Ni 0.152 0.152 0.695
S 0.000 0.000 0.000
! E (eV per atom): -5.00
! Crystal system: tetragonal
! SG: I4/mmm, No. 139
! Raw formation energy (meV per atom): 38


- What is the formula in the fourth record?
  Ni4Sn2S


- The lowest E belongs to which entry?
  Ni4Sn2S


Repeat the third record exactly.
! AlSiTe2, relaxed, DFT PBE-GGA; values from VASP
&SYSTEM
  ibrav = 0, nat = 4, ntyp = 3
/
ATOMIC_SPECIES
Te 127.60 Te.upf
Si 28.09 Si.upf
Al 26.98 Al.upf
CELL_PARAMETERS angstrom
5.341 -1.598 7.297
7.954 -0.857 4.508
6.244 2.081 6.403
ATOMIC_POSITIONS crystal
Te 0.894 0.894 0.894
Si 0.000 0.000 0.000
Al 0.500 0.500 0.500
Te 0.106 0.106 0.106
! E (eV per atom): -3.58
! Crystal system: trigonal
! SG: R-3m, No. 166
! Raw formation energy (meV per atom): 283
! Energy above the most stable polymorph in this dataset (meV/atom): 348.6


- Among the records above, which one has the highest E?
  K2AlCd